Material: Tb5Hf
Method: DFT, PBE-GGA
State: optimized geometry

Geometry as POSCAR:
```
Tb5Hf
1.0
-3.696 -1.013 -3.106
3.233 -0.771 -3.596
-1.235 -6.760 3.674
Tb Hf
5 1
Cartesian
1.738 -2.664 -1.200
0.260 -4.867 1.278
-0.231 -0.892 -3.351
-1.725 -2.802 -0.951
0.028 -5.741 -2.078
0.000 0.000 0.000
```

Summary:
uncorrected energy = -5.42 eV per atom